*w*
Tb5Y4Ho: optimized geometry, PBE-GGA.

For the magnetization, the calculation gives 0.0 μB/cell.

The structure belongs to space group P-1 (No. 2); the cell edges are 3.564, 6.816 and 13.934 Å and the angles 82.41°, 89.81° and 74.85°. Symmetry generates all atoms from Tb at (0.000, 0.000, 0.000), Tb at (0.038, 0.917, 0.385), Tb at (0.317, 0.375, 0.416), Y at (0.318, 0.329, 0.790), Y at (0.376, 0.202, 0.193) and Ho at (0.500, 0.500, 0.000).



*x*
Tb5Y4Ho: optimized geometry, PBE-GGA.

For the magnetization, the calculation gives 0.0 μB/cell.

The structure belongs to space group I4mm (No. 107); the cell edges are 10.580, 10.580 and 5.921 Å and the angles 90.00°, 90.00° and 90.00°. Symmetry generates all atoms from Tb at (0.000, 0.000, 0.000), Tb at (0.188, 0.188, 0.264), Y at (0.000, 0.322, 0.763) and Ho at (0.000, 0.000, 0.530).



The structure with the greatest stability is *w*.



*w*
Tb6Y2Ho3: optimized geometry, PBE-GGA.

For the magnetization, the calculation gives 0.0 μB/cell.

The structure belongs to space group R-3m (No. 166, hexagonal axes); the cell edges are 3.5547, 3.5547 and 95.4589 Å and the angles 90.00°, 90.00° and 120.00°. Symmetry generates all atoms from Tb at (0.0000, 0.0000, 0.0905), Tb at (0.0000, 0.0000, 0.1819), Tb at (0.0000, 0.0000, 0.3635), Y at (0.0000, 0.0000, 0.4543), Ho at (0.0000, 0.0000, 0.0000) and Ho at (0.0000, 0.0000, 0.2730).



*x*
Tb6Y2Ho3: optimized geometry, PBE-GGA.

For the magnetization, the calculation gives 0.0 μB/cell.

The structure belongs to space group I4/mmm (No. 139); the cell edges are 4.711, 4.711 and 33.361 Å and the angles 90.00°, 90.00° and 90.00°. Symmetry generates all atoms from Tb at (0.000, 0.000, 0.198), Tb at (0.000, 0.500, 0.122), Y at (0.000, 0.000, 0.046), Ho at (0.000, 0.000, 0.300) and Ho at (0.000, 0.000, 0.500).



The structure with the greatest stability is *w*.



*w*
Tb3YHo6: optimized geometry, PBE-GGA.

For the magnetization, the calculation gives 0.0 μB/cell.

The structure belongs to space group Cmc2_1 (No. 36); the cell edges are 9.549, 20.974 and 6.355 Å and the angles 90.00°, 90.00° and 90.00°. Symmetry generates all atoms from Tb at (0.000, 0.079, 0.000), Tb at (0.169, 0.372, 0.606), Y at (0.000, 0.339, 0.080), Ho at (0.000, 0.197, 0.302), Ho at (0.000, 0.486, 0.279), Ho at (0.176, 0.219, 0.765) and Ho at (0.182, 0.061, 0.526).



*x*
Tb3YHo6: optimized geometry, PBE-GGA.

For the magnetization, the calculation gives 0.0 μB/cell.

The structure belongs to space group Cmc2_1 (No. 36); the cell edges are 10.941, 18.885 and 6.203 Å and the angles 90.00°, 90.00° and 90.00°. Symmetry generates all atoms from Tb at (0.000, 0.110, 0.000), Tb at (0.171, 0.390, 0.608), Y at (0.000, 0.297, 0.934), Ho at (0.000, 0.220, 0.427), Ho at (0.000, 0.456, 0.165), Ho at (0.166, 0.047, 0.532) and Ho at (0.244, 0.211, 0.709).



The structure with the greatest stability is *w*.



*w*
Tb12YHo7: optimized geometry, PBE-GGA.

For the magnetization, the calculation gives 0.0 μB/cell.

The structure belongs to space group Im-3 (No. 204); the cell edges are 11.288, 11.288 and 11.288 Å and the angles 90.00°, 90.00° and 90.00°. Symmetry generates all atoms from Tb at (0.000, 0.252, 0.251), Y at (0.000, 0.000, 0.000), Ho at (0.000, 0.000, 0.500) and Ho at (0.250, 0.250, 0.250).



*x*
Tb12YHo7: optimized geometry, PBE-GGA.

For the magnetization, the calculation gives 0.0 μB/cell.

The structure belongs to space group R-3 (No. 148, hexagonal axes); the cell edges are 12.7960, 12.7960 and 13.7017 Å and the angles 90.00°, 90.00° and 120.00°. Symmetry generates all atoms from Tb at (0.9995, 0.4351, 0.2503), Tb at (0.0683, 0.1998, 0.3474), Y at (0.0000, 0.0000, 0.0000), Ho at (0.0000, 0.0000, 0.5000) and Ho at (0.0683, 0.8683, 0.8476).



The structure with the greatest stability is *x*.



*w*
Tb3YHo7: optimized geometry, PBE-GGA.

For the magnetization, the calculation gives 0.8 μB/cell.

The structure belongs to space group C2/m (No. 12); the cell edges are 12.537, 11.126 and 5.769 Å and the angles 90.00°, 117.31° and 90.00°. Symmetry generates all atoms from Tb at (0.000, 0.000, 0.000), Tb at (0.000, 0.209, 0.500), Y at (0.000, 0.500, 0.000), Ho at (0.000, 0.500, 0.500), Ho at (0.206, 0.000, 0.705) and Ho at (0.206, 0.196, 0.206).



*x*
Tb3YHo7: optimized geometry, PBE-GGA.

For the magnetization, the calculation gives 0.0 μB/cell.

The structure belongs to space group P2/m (No. 10); the cell edges are 6.948, 5.500 and 9.878 Å and the angles 90.00°, 110.26° and 90.00°. Symmetry generates all atoms from Tb at (0.000, 0.000, 0.000), Tb at (0.219, 0.500, 0.501), Y at (0.500, 0.000, 0.000), Ho at (0.083, 0.000, 0.670), Ho at (0.180, 0.500, 0.859), Ho at (0.354, 0.500, 0.210) and Ho at (0.500, 0.000, 0.500).



The structure with the greatest stability is *x*.



*w*
Tb3Y4Ho2: optimized geometry, PBE-GGA.

For the magnetization, the calculation gives 0.0 μB/cell.

The structure belongs to space group C2/m (No. 12); the cell edges are 15.089, 5.026 and 7.955 Å and the angles 90.00°, 108.23° and 90.00°. Symmetry generates all atoms from Tb at (0.000, 0.000, 0.000), Tb at (0.110, 0.000, 0.666), Y at (0.166, 0.500, 0.000), Y at (0.222, 0.000, 0.334) and Ho at (0.055, 0.500, 0.334).



*x*
Tb3Y4Ho2: optimized geometry, PBE-GGA.

For the magnetization, the calculation gives 0.0 μB/cell.

The structure belongs to space group C2/c (No. 15); the cell edges are 16.322, 11.562 and 6.112 Å and the angles 90.00°, 96.09° and 90.00°. Symmetry generates all atoms from Tb at (0.000, 0.095, 0.250), Tb at (0.167, 0.402, 0.082), Y at (0.046, 0.359, 0.513), Y at (0.212, 0.139, 0.349) and Ho at (0.119, 0.142, 0.821).



The structure with the greatest stability is *w*.



*w*
TbY2Ho3: optimized geometry, PBE-GGA.

For the magnetization, the calculation gives 0.0 μB/cell.

The structure belongs to space group P-1 (No. 2); the cell edges are 6.192, 7.157 and 8.810 Å and the angles 101.72°, 96.72° and 90.02°. Symmetry generates all atoms from Tb at (0.249, 0.125, 0.001), Y at (0.360, 0.791, 0.666), Y at (0.361, 0.292, 0.666), Ho at (0.138, 0.458, 0.333), Ho at (0.138, 0.958, 0.333) and Ho at (0.249, 0.625, 0.001).



*x*
TbY2Ho3: optimized geometry, PBE-GGA.

For the magnetization, the calculation gives 0.0 μB/cell.

The structure belongs to space group C2/c (No. 15); the cell edges are 17.011, 6.710 and 6.793 Å and the angles 90.00°, 99.27° and 90.00°. Symmetry generates all atoms from Tb at (0.000, 0.229, 0.250), Y at (0.176, 0.068, 0.132), Ho at (0.000, 0.253, 0.750) and Ho at (0.148, 0.439, 0.525).



The structure with the greatest stability is *w*.



*w*
Tb8Y2Ho: optimized geometry, PBE-GGA.

For the magnetization, the calculation gives 0.0 μB/cell.

The structure belongs to space group C2/m (No. 12); the cell edges are 17.245, 6.624 and 6.458 Å and the angles 90.00°, 99.93° and 90.00°. Symmetry generates all atoms from Tb at (0.091, 0.242, 0.458), Tb at (0.093, 0.000, 0.938), Tb at (0.207, 0.500, 0.179), Y at (0.249, 0.500, 0.699) and Ho at (0.000, 0.500, 0.000).



*x*
Tb8Y2Ho: optimized geometry, PBE-GGA.

For the magnetization, the calculation gives 0.0 μB/cell.

The structure belongs to space group C2/m (No. 12); the cell edges are 9.054, 16.435 and 5.905 Å and the angles 90.00°, 125.41° and 90.00°. Symmetry generates all atoms from Tb at (0.000, 0.204, 0.000), Tb at (0.064, 0.500, 0.792), Tb at (0.219, 0.120, 0.689), Y at (0.000, 0.310, 0.500) and Ho at (0.000, 0.000, 0.000).



The structure with the greatest stability is *x*.